Here is Pm8Sm after structural relaxation from Alexandria via LeMat-Bulk. Energies are from PBE.

Cell lengths 10.942, 10.942, 5.161 Å; angles 90.00, 90.00, 90.00 degrees
Space group I4/mmm (No. 139)
Inequivalent atoms, fractional coordinates:
1 Pm 0.000 0.333 0.000
2 Pm 0.167 0.167 0.500
3 Sm 0.000 0.000 0.000

Results
* ΔE_f: 13.1 meV per atom
* E: -0.3479 Ry per atom
* total magnetization: 0.0 μB/cell